# 1
Li3AlV | PBE | optimized geometry

Values from the calculation:
Space group   No. 221
ΔH_f (0 K)   0.818 eV per atom
Volume   21.396 Å³/atom
D(E_F)   4.56 states/eV/cell
Excess energy over the best structure of this formula in the dataset   0 meV per atom

POSCAR file:
```
Li3AlV
1.0
-0.080 4.708 -0.603
-4.729 -0.130 -0.389
-0.402 0.594 4.693
V Al Li
1 1 3
Cartesian
-2.606 2.586 1.851
0.000 0.000 0.000
-2.365 -0.065 -0.194
-0.201 0.297 2.346
-0.040 2.354 -0.301
```

=====

# 2
Cs2ZrBr | PBE | optimized geometry

Values from the calculation:
Space group   No. 225
Volume   54.200 Å³/atom
D(E_F)   0.00 states/eV/cell
Uncorrected formation energy   391 meV/atom
Excess energy over the best structure of this formula in the dataset   220 meV per atom

POSCAR file:
```
Cs2ZrBr
1.0
0.000 4.768 4.768
4.768 0.000 4.768
4.768 4.768 0.000
Cs Br Zr
2 1 1
Cartesian
2.384 2.384 2.384
7.152 7.152 7.152
0.000 0.000 0.000
4.768 4.768 4.768
```

=====

# 3
Pr2ZnCd2 | PBE | optimized geometry

Values from the calculation:
Space group   No. 65
ΔH_f (0 K)   -0.231 eV per atom
Volume   26.122 Å³/atom
D(E_F)   4.96 states/eV/cell
Excess energy over the best structure of this formula in the dataset   38 meV per atom

POSCAR file:
```
Pr2ZnCd2
1.0
-0.410 -2.150 2.679
0.675 -3.809 -2.953
7.966 -1.629 -0.087
Pr Zn Cd
2 1 2
Cartesian
1.801 -2.919 0.167
6.430 -4.669 -0.529
0.000 0.000 0.000
4.944 -1.738 -0.638
3.697 -3.700 -2.403
```

=====

# 4
Ho3CO2 | PBE | optimized geometry

Values from the calculation:
Space group   No. 15
Volume   14.596 Å³/atom
D(E_F)   1.99 states/eV/cell
Uncorrected formation energy   -2201 meV/atom

POSCAR file:
```
Ho3CO2
1.0
5.884 0.287 -1.147
-1.809 4.986 -2.773
0.151 -0.221 5.979
Ho C O
6 2 4
Cartesian
5.610 1.086 0.383
2.352 1.784 -0.458
-0.904 2.493 -1.386
-1.385 3.966 1.676
3.017 0.033 2.416
1.874 3.267 2.518
0.478 2.889 0.586
3.747 2.163 1.474
-0.174 4.621 -2.326
1.127 1.165 3.483
4.399 0.430 4.385
3.099 3.886 -1.423
```

=====

# 5
PrAl3CuNi | PBE | optimized geometry

Values from the calculation:
Space group   No. 63
ΔH_f (0 K)   -0.310 eV per atom
Volume   18.152 Å³/atom
D(E_F)   6.04 states/eV/cell

POSCAR file:
```
PrAl3CuNi
1.0
-5.193 -2.228 1.596
0.424 -4.197 -4.478
2.571 -1.670 6.035
Pr Al Cu Ni
2 6 2 2
Cartesian
-2.380 -3.722 3.264
0.182 -4.373 -0.110
-0.495 -1.644 1.495
0.122 -1.207 -1.287
-2.294 -4.105 -2.393
-2.475 -2.320 -0.489
0.302 -2.991 -3.191
-1.703 -6.450 1.659
0.689 -3.247 3.109
-2.887 -4.847 0.044
1.391 -6.009 1.539
-3.589 -2.085 1.615
```

=====

# 6
Pr3Tm2Sc | PBE | optimized geometry

Values from the calculation:
Space group   No. 11
ΔH_f (0 K)   0.044 eV per atom
Volume   32.361 Å³/atom
D(E_F)   15.94 states/eV/cell
Excess energy over the best structure of this formula in the dataset   0 meV per atom

POSCAR file:
```
Pr3Tm2Sc
1.0
3.658 0.000 0.000
0.000 8.390 0.871
0.000 -1.375 12.511
Pr Tm Sc
6 4 2
Cartesian
2.743 -0.186 7.739
0.914 7.201 5.642
2.743 4.729 3.706
0.914 2.286 9.676
0.914 2.764 1.045
2.743 4.251 12.336
0.914 2.315 5.920
2.743 4.700 7.462
2.743 -0.618 11.196
0.914 7.633 2.186
0.914 5.741 10.033
2.743 1.274 3.349
```

=====

# 7
LaMnOs3 | PBE | optimized geometry

Values from the calculation:
Space group   No. 221
ΔH_f (0 K)   2.812 eV per atom
Volume   22.669 Å³/atom
D(E_F)   8.49 states/eV/cell
Excess energy over the best structure of this formula in the dataset   2004 meV per atom

POSCAR file:
```
LaMnOs3
1.0
-2.610 -3.222 2.495
3.808 -2.984 0.130
1.452 2.034 4.145
Mn Os La
1 3 1
Cartesian
1.325 -2.086 3.385
1.904 -1.492 0.065
0.726 1.017 2.072
-1.305 -1.611 1.248
0.000 0.000 0.000
```

=====

# 8
Nd5YEr6 | PBE | optimized geometry

Values from the calculation:
Space group   No. 71
ΔH_f (0 K)   0.020 eV per atom
Volume   32.572 Å³/atom
D(E_F)   16.42 states/eV/cell
Excess energy over the best structure of this formula in the dataset   4 meV per atom

POSCAR file:
```
Nd5YEr6
1.0
4.893 0.018 -1.426
-1.372 8.826 -4.598
0.105 -0.776 9.455
Y Nd Er
1 5 6
Cartesian
0.000 0.000 0.000
3.064 1.216 1.420
1.242 2.428 4.289
-0.686 4.413 -2.299
2.384 5.641 -0.859
0.561 6.852 2.010
3.347 4.650 2.434
4.034 0.233 4.735
1.417 6.632 -4.163
2.104 2.212 -1.861
-0.408 7.836 -1.305
0.278 3.419 0.997
```

=====

# 9
NaPmCuP | PBE | optimized geometry

Values from the calculation:
Space group   No. 216
ΔH_f (0 K)   -0.386 eV per atom
Volume   20.820 Å³/atom
D(E_F)   1.21 states/eV/cell

POSCAR file:
```
NaPmCuP
1.0
4.902 0.000 0.000
2.451 4.245 0.000
2.451 1.415 4.002
P Na Cu Pm
1 1 1 1
Cartesian
7.353 4.245 3.002
0.000 0.000 0.000
2.451 1.415 1.001
4.902 2.830 2.001
```

=====

# 10
PuCuPd3 | PBE | optimized geometry

Values from the calculation:
Space group   No. 194
ΔH_f (0 K)   -0.240 eV per atom
Volume   18.354 Å³/atom
D(E_F)   34.22 states/eV/cell

POSCAR file:
```
PuCuPd3
1.0
5.282 0.000 0.000
0.000 6.336 -0.001
0.000 -3.169 5.484
Pu Cu Pd
2 2 6
Cartesian
3.961 3.168 1.829
1.321 -0.001 3.655
0.000 0.000 0.000
2.641 0.000 0.000
3.961 1.337 4.429
1.320 3.169 3.372
1.321 1.830 1.054
3.962 -0.001 2.111
1.320 4.506 1.054
3.962 -1.339 4.430
```

=====

# 11
Sc2ClO | PBE | optimized geometry

Values from the calculation:
Space group   No. 225
Volume   13.901 Å³/atom
D(E_F)   2.33 states/eV/cell
Uncorrected formation energy   -1302 meV/atom
Excess energy over the best structure of this formula in the dataset   542 meV per atom

POSCAR file:
```
Sc2ClO
1.0
-1.672 2.460 3.084
-2.099 3.591 -1.026
-4.250 0.215 0.500
Sc O Cl
2 1 1
Cartesian
-2.005 1.566 0.639
-6.015 4.699 1.918
0.000 0.000 0.000
-4.010 3.133 1.279
```

=====

# 12
ReSi2Pt | PBE | optimized geometry

Values from the calculation:
Space group   No. 99
Volume   14.410 Å³/atom
D(E_F)   2.67 states/eV/cell
Uncorrected formation energy   111 meV/atom
Excess energy over the best structure of this formula in the dataset   462 meV per atom

POSCAR file:
```
ReSi2Pt
1.0
-1.245 -2.447 0.247
0.964 -0.740 -2.474
6.225 -2.837 3.276
Pt Re Si
1 1 2
Cartesian
3.089 -1.408 1.626
4.610 -3.759 1.386
6.183 -2.818 3.253
1.400 -2.296 -0.303
```